No. 1
Computed, not measured: a relaxed structure of SmErBePd at the GGA-PBE level of DFT.

## Properties
The uncorrected energy is -4.874 eV per atom. Its space group is No. 216.

Lattice parameters (Å, degrees): 4.9480 4.9480 4.9480 60.00 60.00 60.00
Positions (direct):
Sm: 0.0000 0.0000 0.0000
Er: 0.5000 0.5000 0.5000
Be: 0.7500 0.7500 0.7500
Pd: 0.2500 0.2500 0.2500



No. 2
Computed, not measured: a relaxed structure of SmErBe2Pd5 at the GGA-PBE level of DFT.

## Properties
The uncorrected energy is -5.459 eV per atom. Its space group is No. 123.

Lattice parameters (Å, degrees): 4.0628 4.0628 9.0050 90.00 90.00 90.00
Positions (direct):
Sm: 0.0000 0.0000 0.0000
Er: 0.0000 0.0000 0.5000
Be: 0.5000 0.5000 0.3693
Be: 0.5000 0.5000 0.6307
Pd: 0.0000 0.5000 0.2480
Pd: 0.0000 0.5000 0.7520
Pd: 0.5000 0.0000 0.2480
Pd: 0.5000 0.0000 0.7520
Pd: 0.5000 0.5000 0.0000



No. 3
Computed, not measured: a relaxed structure of TbErBePd at the GGA-PBE level of DFT.

## Properties
The uncorrected energy is -4.892 eV per atom. Its space group is No. 216.

Lattice parameters (Å, degrees): 4.9034 4.9034 4.9034 60.00 60.00 60.00
Positions (direct):
Tb: 0.0000 0.0000 0.0000
Er: 0.5000 0.5000 0.5000
Be: 0.2500 0.2500 0.2500
Pd: 0.7500 0.7500 0.7500



No. 4
Computed, not measured: a relaxed structure of Er2Be2ZnPd5 at the GGA-PBE level of DFT.

## Properties
The uncorrected energy is -5.137 eV per atom. Its space group is No. 127.

Lattice parameters (Å, degrees): 9.5366 9.5366 3.4422 90.00 90.00 90.00
Positions (direct):
Er: 0.1772 0.3228 0.0000
Er: 0.3228 0.8228 0.0000
Er: 0.6772 0.1772 0.0000
Er: 0.8228 0.6772 0.0000
Be: 0.1194 0.6194 0.0000
Be: 0.3806 0.1194 0.0000
Be: 0.6194 0.8806 0.0000
Be: 0.8806 0.3806 0.0000
Zn: 0.0000 0.0000 0.0000
Zn: 0.5000 0.5000 0.0000
Pd: 0.0000 0.5000 0.5000
Pd: 0.0680 0.7877 0.5000
Pd: 0.2123 0.0680 0.5000
Pd: 0.2877 0.5680 0.5000
Pd: 0.4320 0.2877 0.5000
Pd: 0.5000 0.0000 0.5000
Pd: 0.5680 0.7123 0.5000
Pd: 0.7123 0.4320 0.5000
Pd: 0.7877 0.9320 0.5000
Pd: 0.9320 0.2123 0.5000



No. 5
Computed, not measured: a relaxed structure of PmEr2Be at the GGA-PBE level of DFT.

## Properties
The uncorrected energy is -4.342 eV per atom. Its space group is No. 123. As for the distance to the lowest polymorph of the same formula: 0 meV per atom.

Lattice parameters (Å, degrees): 3.4386 3.4386 8.7078 90.00 90.00 90.00
Positions (direct):
Pm: 0.0000 0.0000 0.0000
Er: 0.5000 0.5000 0.3111
Er: 0.5000 0.5000 0.6889
Be: 0.0000 0.0000 0.5000



No. 6
Computed, not measured: a relaxed structure of PmEr2Be at the GGA-PBE level of DFT.

## Properties
The uncorrected energy is -3.700 eV per atom. Its space group is No. 166. As for the distance to the lowest polymorph of the same formula: 642 meV per atom.

Lattice parameters (Å, degrees): 11.5343 11.5343 11.5343 17.20 17.20 17.20
Positions (direct):
Pm: 0.0000 0.0000 0.0000
Er: 0.4164 0.4164 0.4164
Er: 0.5836 0.5836 0.5836
Be: 0.5000 0.5000 0.5000



No. 7
Computed, not measured: a relaxed structure of Pm2ErBe at the GGA-PBE level of DFT.

## Properties
The uncorrected energy is -4.334 eV per atom. Its space group is No. 123. As for the distance to the lowest polymorph of the same formula: 0 meV per atom.

Lattice parameters (Å, degrees): 3.5564 3.5564 8.5546 90.00 90.00 90.00
Positions (direct):
Pm: 0.0000 0.0000 0.1984
Pm: 0.0000 0.0000 0.8016
Er: 0.5000 0.5000 0.5000
Be: 0.5000 0.5000 0.0000



No. 8
Computed, not measured: a relaxed structure of Pm2ErBe at the GGA-PBE level of DFT.

## Properties
The uncorrected energy is -3.769 eV per atom. Its space group is No. 166. As for the distance to the lowest polymorph of the same formula: 565 meV per atom.

Lattice parameters (Å, degrees): 11.7453 11.7453 11.7453 16.93 16.93 16.93
Positions (direct):
Pm: 0.0846 0.0846 0.0846
Pm: 0.9154 0.9154 0.9154
Er: 0.5000 0.5000 0.5000
Be: 0.0000 0.0000 0.0000